#P
Compound: Pr12ErTm6
Source: Alexandria via LeMat-Bulk
Functional: PBE-GGA
Structure: relaxed

Cell: 8.7041 8.7041 8.7041 Å, 88.84 88.84 88.84°
Last column: nearest neighbours and their distance in Å.
Positions (direct):
1 Pr 0.0187 0.1911 0.3648  4 Pr 3.49-3.65, 4 Tm 3.55-3.73, 1 Er 3.62
2 Pr 0.1911 0.3648 0.0187  4 Pr 3.49-3.65, 4 Tm 3.55-3.73, 1 Er 3.62
3 Pr 0.2164 0.4642 0.5667  3 Tm 3.39-3.54, 4 Pr 3.40-3.65
4 Pr 0.3648 0.0187 0.1911  4 Pr 3.49-3.65, 4 Tm 3.55-3.73, 1 Er 3.62
5 Pr 0.4333 0.7836 0.5358  3 Tm 3.39-3.54, 4 Pr 3.40-3.65
6 Pr 0.4642 0.5667 0.2164  3 Tm 3.39-3.54, 4 Pr 3.40-3.65
7 Pr 0.5358 0.4333 0.7836  3 Tm 3.39-3.54, 4 Pr 3.40-3.65
8 Pr 0.5667 0.2164 0.4642  3 Tm 3.39-3.54, 4 Pr 3.40-3.65
9 Pr 0.6352 0.9813 0.8089  4 Pr 3.49-3.65, 4 Tm 3.55-3.73, 1 Er 3.62
10 Pr 0.7836 0.5358 0.4333  3 Tm 3.39-3.54, 4 Pr 3.40-3.65
11 Pr 0.8089 0.6352 0.9813  4 Pr 3.49-3.65, 4 Tm 3.55-3.73, 1 Er 3.62
12 Pr 0.9813 0.8089 0.6352  4 Pr 3.49-3.65, 4 Tm 3.55-3.73, 1 Er 3.62
13 Er 0.0000 0.0000 0.0000  6 Tm 3.47, 6 Pr 3.62
14 Tm 0.1005 0.7075 0.2580  7 Pr 3.39-3.73, 1 Er 3.47, 2 Tm 3.52
15 Tm 0.2580 0.1005 0.7075  7 Pr 3.39-3.73, 1 Er 3.47, 2 Tm 3.52
16 Tm 0.2925 0.7420 0.8995  7 Pr 3.39-3.73, 1 Er 3.47, 2 Tm 3.52
17 Tm 0.7075 0.2580 0.1005  7 Pr 3.39-3.73, 1 Er 3.47, 2 Tm 3.52
18 Tm 0.7420 0.8995 0.2925  7 Pr 3.39-3.73, 1 Er 3.47, 2 Tm 3.52
19 Tm 0.8995 0.2925 0.7420  7 Pr 3.39-3.73, 1 Er 3.47, 2 Tm 3.52


#Q
Compound: Pr12ErTm6
Source: Alexandria via LeMat-Bulk
Functional: PBE-GGA
Structure: relaxed

Cell: 9.2806 9.2806 9.2806 Å, 106.50 106.50 106.50°
Last column: nearest neighbours and their distance in Å.
Positions (direct):
1 Pr 0.1334 0.8292 0.2760  5 Tm 3.41-3.68, 5 Pr 3.45-3.79, 1 Er 3.50
2 Pr 0.1708 0.7240 0.8666  5 Tm 3.41-3.68, 5 Pr 3.45-3.79, 1 Er 3.50
3 Pr 0.1930 0.5818 0.4830  4 Tm 3.41-3.76, 6 Pr 3.45-3.62
4 Pr 0.2760 0.1334 0.8292  5 Tm 3.41-3.68, 5 Pr 3.45-3.79, 1 Er 3.50
5 Pr 0.4182 0.5170 0.8070  4 Tm 3.41-3.76, 6 Pr 3.45-3.62
6 Pr 0.4830 0.1930 0.5818  4 Tm 3.41-3.76, 6 Pr 3.45-3.62
7 Pr 0.5170 0.8070 0.4182  4 Tm 3.41-3.76, 6 Pr 3.45-3.62
8 Pr 0.5818 0.4830 0.1930  4 Tm 3.41-3.76, 6 Pr 3.45-3.62
9 Pr 0.7240 0.8666 0.1708  5 Tm 3.41-3.68, 5 Pr 3.45-3.79, 1 Er 3.50
10 Pr 0.8070 0.4182 0.5170  4 Tm 3.41-3.76, 6 Pr 3.45-3.62
11 Pr 0.8292 0.2760 0.1334  5 Tm 3.41-3.68, 5 Pr 3.45-3.79, 1 Er 3.50
12 Pr 0.8666 0.1708 0.7240  5 Tm 3.41-3.68, 5 Pr 3.45-3.79, 1 Er 3.50
13 Er 0.0000 0.0000 0.0000  6 Pr 3.50, 6 Tm 3.87
14 Tm 0.0752 0.1889 0.4572  9 Pr 3.41-3.76, 1 Tm 3.78
15 Tm 0.1889 0.4572 0.0752  9 Pr 3.41-3.76, 1 Tm 3.78
16 Tm 0.4572 0.0752 0.1889  9 Pr 3.41-3.76, 1 Tm 3.78
17 Tm 0.5428 0.9248 0.8111  9 Pr 3.41-3.76, 1 Tm 3.78
18 Tm 0.8111 0.5428 0.9248  9 Pr 3.41-3.76, 1 Tm 3.78
19 Tm 0.9248 0.8111 0.5428  9 Pr 3.41-3.76, 1 Tm 3.78


Stability, descending: #P, #Q